Computed, not measured: a geometry-optimized TcSe3O structure at the GGA-PBE level of DFT.

The structure in CIF format:
```
data_TcSe3O
_chemical_formula_sum 'Tc1 Se3 O1'
_cell_length_a 4.803
_cell_length_b 4.803
_cell_length_c 4.803
_cell_angle_alpha 90.00
_cell_angle_beta 90.00
_cell_angle_gamma 90.00
_space_group_name_H-M_alt 'P 1'
_space_group_IT_number 1
_space_group_name_Hall 'P 1'
loop_
_atom_site_label
_atom_site_fract_x
_atom_site_fract_y
_atom_site_fract_z
O1 0.500 0.500 0.500
Tc1 0.000 0.000 0.000
Se1 0.000 0.500 0.000
Se2 0.000 0.000 0.500
Se3 0.500 0.000 0.000
```

Values from the calculation:
magnetization = 0.000 μB/f.u.
E = -0.318 Ry/atom
mass density = 5.3 g cm⁻³
DOS(E_F) = 8.17 states/eV/cell
energy relative to the elements, uncorrected = 0.830 eV/atom
excess energy over the best structure of this formula in the dataset = 0.019 eV per atom


Computed, not measured: a geometry-optimized TcSe3O structure at the GGA-PBE level of DFT.

The structure in CIF format:
```
data_TcSe3O
_chemical_formula_sum 'Tc1 Se3 O1'
_cell_length_a 4.366
_cell_length_b 4.366
_cell_length_c 4.366
_cell_angle_alpha 90.00
_cell_angle_beta 90.00
_cell_angle_gamma 90.00
_space_group_name_H-M_alt 'P 1'
_space_group_IT_number 1
_space_group_name_Hall 'P 1'
loop_
_atom_site_label
_atom_site_fract_x
_atom_site_fract_y
_atom_site_fract_z
O1 0.000 0.000 0.000
Tc1 0.500 0.500 0.500
Se1 0.000 0.500 0.000
Se2 0.000 0.000 0.500
Se3 0.500 0.000 0.000
```

Values from the calculation:
magnetization = 0.000 μB/f.u.
E = -0.319 Ry/atom
mass density = 7.0 g cm⁻³
DOS(E_F) = 3.70 states/eV/cell
energy relative to the elements, uncorrected = 0.812 eV/atom
excess energy over the best structure of this formula in the dataset = 0.000 eV per atom


Computed, not measured: a geometry-optimized TcSeO5 structure at the GGA-PBE level of DFT.

The structure in CIF format:
```
data_TcSeO5
_chemical_formula_sum 'Tc2 Se2 O10'
_cell_length_a 5.482
_cell_length_b 5.482
_cell_length_c 7.316
_cell_angle_alpha 75.03
_cell_angle_beta 75.03
_cell_angle_gamma 76.23
_space_group_name_H-M_alt 'P 1'
_space_group_IT_number 1
_space_group_name_Hall 'P 1'
loop_
_atom_site_label
_atom_site_fract_x
_atom_site_fract_y
_atom_site_fract_z
Tc1 0.021 0.002 0.997
Tc2 0.002 0.021 0.497
Se1 0.481 0.613 0.713
Se2 0.613 0.481 0.213
O1 0.197 0.237 0.931
O2 0.243 0.682 0.576
O3 0.237 0.197 0.431
O4 0.923 0.038 0.765
O5 0.327 0.733 0.928
O6 0.682 0.243 0.076
O7 0.038 0.923 0.265
O8 0.674 0.828 0.590
O9 0.733 0.327 0.428
O10 0.828 0.674 0.090
```

Values from the calculation:
magnetization = 0.000 μB/f.u.
E = -0.478 Ry/atom
mass density = 4.2 g cm⁻³
DOS(E_F) = 1.54 states/eV/cell
energy relative to the elements, uncorrected = -0.989 eV/atom


Computed, not measured: a geometry-optimized Ti2TcSeO structure at the GGA-PBE level of DFT.

The structure in CIF format:
```
data_Ti2TcSeO
_chemical_formula_sum 'Ti2 Tc1 Se1 O1'
_cell_length_a 4.820
_cell_length_b 3.665
_cell_length_c 4.820
_cell_angle_alpha 90.00
_cell_angle_beta 90.00
_cell_angle_gamma 90.00
_space_group_name_H-M_alt 'P 1'
_space_group_IT_number 1
_space_group_name_Hall 'P 1'
loop_
_atom_site_label
_atom_site_fract_x
_atom_site_fract_y
_atom_site_fract_z
O1 0.000 0.500 0.000
Tc1 0.500 0.500 0.500
Se1 0.000 0.000 0.000
Ti1 0.000 0.000 0.500
Ti2 0.500 0.000 0.000
```

Values from the calculation:
magnetization = 0.001 μB/f.u.
E = -0.477 Ry/atom
mass density = 5.6 g cm⁻³
DOS(E_F) = 5.37 states/eV/cell
energy relative to the elements, uncorrected = 0.435 eV/atom


Computed, not measured: a geometry-optimized TeSeO4 structure at the GGA-PBE level of DFT.

The structure in CIF format:
```
data_TeSeO4
_chemical_formula_sum 'Te2 Se2 O8'
_cell_length_a 7.242
_cell_length_b 7.242
_cell_length_c 5.389
_cell_angle_alpha 102.23
_cell_angle_beta 102.23
_cell_angle_gamma 116.11
_space_group_name_H-M_alt 'P 1'
_space_group_IT_number 1
_space_group_name_Hall 'P 1'
loop_
_atom_site_label
_atom_site_fract_x
_atom_site_fract_y
_atom_site_fract_z
Te1 0.571 0.429 0.250
Te2 0.429 0.571 0.750
Se1 0.095 0.905 0.750
Se2 0.905 0.095 0.250
O1 0.307 0.375 0.335
O2 0.723 0.068 0.981
O3 0.625 0.693 0.165
O4 0.932 0.277 0.519
O5 0.068 0.723 0.481
O6 0.375 0.307 0.835
O7 0.277 0.932 0.019
O8 0.693 0.625 0.665
```

Values from the calculation:
magnetization = 0.000 μB/f.u.
E = -0.380 Ry/atom
mass density = 3.9 g cm⁻³
DOS(E_F) = 0.00 states/eV/cell
energy relative to the elements, uncorrected = -0.754 eV/atom
excess energy over the best structure of this formula in the dataset = 0.125 eV per atom


Computed, not measured: a geometry-optimized TeSeO structure at the GGA-PBE level of DFT.

The structure in CIF format:
```
data_TeSeO
_chemical_formula_sum 'Te2 Se2 O2'
_cell_length_a 4.541
_cell_length_b 5.359
_cell_length_c 7.169
_cell_angle_alpha 104.79
_cell_angle_beta 93.52
_cell_angle_gamma 114.66
_space_group_name_H-M_alt 'P 1'
_space_group_IT_number 1
_space_group_name_Hall 'P 1'
loop_
_atom_site_label
_atom_site_fract_x
_atom_site_fract_y
_atom_site_fract_z
Te1 0.819 0.022 0.706
Te2 0.501 0.488 0.024
Se1 0.211 0.232 0.287
Se2 0.280 0.712 0.380
O1 0.491 0.128 0.818
O2 0.750 0.710 0.799
```

Values from the calculation:
magnetization = 0.000 μB/f.u.
E = -0.307 Ry/atom
mass density = 4.9 g cm⁻³
DOS(E_F) = 0.02 states/eV/cell
energy relative to the elements, uncorrected = -0.314 eV/atom
excess energy over the best structure of this formula in the dataset = 0.112 eV per atom